No. 1
Al2GeW PBE-GGA relaxed; total magnetization = 0.00 μB/atom; total energy = -24.585 eV per formula unit
1.0
2.938 0.000 0.000
1.469 2.544 0.000
1.469 0.848 8.683
Ge Al W
1 2 1
Direct
0.500 0.500 0.500
0.251 0.251 0.246
0.749 0.749 0.754
0.000 0.000 0.000



No. 2
InCo2Rh2 PBE-GGA relaxed; total magnetization = 1.00 μB/atom; total energy = -31.201 eV per formula unit
1.0
7.146 0.000 0.000
0.000 7.146 0.000
0.000 0.000 2.864
Co Rh In
4 4 2
Direct
0.383 0.883 0.000
0.883 0.617 0.000
0.617 0.117 0.000
0.117 0.383 0.000
0.175 0.675 0.500
0.675 0.825 0.500
0.825 0.325 0.500
0.325 0.175 0.500
0.000 0.000 0.000
0.500 0.500 0.000